# 1
Below is a geometry-optimized Li3CoS structure, with properties calculated at the GGA-PBE level.

Geometry as POSCAR:
```
Li3CoS
1.0
4.509 0.000 0.000
0.000 4.509 0.000
0.000 0.000 4.509
Li Co S
3 1 1
direct
0.000 0.000 0.500 Li
0.000 0.500 0.000 Li
0.500 0.000 0.000 Li
0.500 0.500 0.500 Co
0.000 0.000 0.000 S
```

Properties
Crystal system: cubic
Total energy (eV/atom): -3.429

***

# 2
Below is a geometry-optimized LiScCoS3 structure, with properties calculated at the GGA-PBE level.

Geometry as POSCAR:
```
LiScCoS3
1.0
1.790 -6.023 0.000
1.790 6.023 0.000
0.000 0.000 9.707
Li Sc Co S
2 2 2 6
direct
0.226 0.774 0.750 Li
0.774 0.226 0.250 Li
0.000 0.000 0.000 Sc
0.000 0.000 0.500 Sc
0.486 0.514 0.250 Co
0.514 0.486 0.750 Co
0.091 0.909 0.250 S
0.363 0.637 0.079 S
0.363 0.637 0.421 S
0.637 0.363 0.579 S
0.637 0.363 0.921 S
0.909 0.091 0.750 S
```

Properties
Crystal system: orthorhombic
Total energy (eV/atom): -5.758

***

# 3
Below is a geometry-optimized LiTbCoS3 structure, with properties calculated at the GGA-PBE level.

Geometry as POSCAR:
```
LiTbCoS3
1.0
1.880 -5.947 0.000
1.880 5.947 0.000
0.000 0.000 10.448
Li Tb Co S
2 2 2 6
direct
0.227 0.773 0.750 Li
0.773 0.227 0.250 Li
0.000 0.000 0.000 Tb
0.000 0.000 0.500 Tb
0.480 0.520 0.250 Co
0.520 0.480 0.750 Co
0.085 0.915 0.250 S
0.356 0.644 0.088 S
0.356 0.644 0.412 S
0.644 0.356 0.588 S
0.644 0.356 0.912 S
0.915 0.085 0.750 S
```

Properties
Crystal system: orthorhombic
Total energy (eV/atom): -5.509

***

# 4
Below is a geometry-optimized LiTmCoS3 structure, with properties calculated at the GGA-PBE level.

Geometry as POSCAR:
```
LiTmCoS3
1.0
1.853 -5.944 0.000
1.853 5.944 0.000
0.000 0.000 10.074
Li Tm Co S
2 2 2 6
direct
0.232 0.768 0.750 Li
0.768 0.232 0.250 Li
0.000 0.000 0.000 Tm
0.000 0.000 0.500 Tm
0.492 0.508 0.250 Co
0.508 0.492 0.750 Co
0.090 0.910 0.250 S
0.360 0.640 0.094 S
0.360 0.640 0.406 S
0.640 0.360 0.594 S
0.640 0.360 0.906 S
0.910 0.090 0.750 S
```

Properties
Crystal system: orthorhombic
Total energy (eV/atom): -5.480

***

# 5
Below is a geometry-optimized LiYCoS3 structure, with properties calculated at the GGA-PBE level.

Geometry as POSCAR:
```
LiYCoS3
1.0
1.871 -5.937 0.000
1.871 5.937 0.000
0.000 0.000 10.439
Li Y Co S
2 2 2 6
direct
0.227 0.773 0.750 Li
0.773 0.227 0.250 Li
0.000 0.000 0.000 Y
0.000 0.000 0.500 Y
0.481 0.519 0.250 Co
0.519 0.481 0.750 Co
0.086 0.914 0.250 S
0.356 0.644 0.088 S
0.356 0.644 0.412 S
0.644 0.356 0.588 S
0.644 0.356 0.912 S
0.914 0.086 0.750 S
```

Properties
Crystal system: orthorhombic
Total energy (eV/atom): -5.817

***

# 6
Below is a geometry-optimized Li2Co3Sb2 structure, with properties calculated at the GGA-PBE level.

Geometry as POSCAR:
```
Li2Co3Sb2
1.0
2.084 1.203 6.677
-2.084 1.203 6.677
0.000 -2.407 6.677
Li Co Sb
2 3 2
direct
0.000 0.000 0.000 Li
0.486 0.486 0.486 Li
0.125 0.125 0.125 Co
0.612 0.612 0.612 Co
0.870 0.870 0.870 Co
0.250 0.250 0.250 Sb
0.742 0.742 0.742 Sb
```

Properties
Crystal system: trigonal
Total energy (eV/atom): -4.945

***

# 7
Below is a geometry-optimized LiScCoSb structure, with properties calculated at the GGA-PBE level.

Geometry as POSCAR:
```
LiScCoSb
1.0
0.000 3.248 3.248
3.248 0.000 3.248
3.248 3.248 0.000
Li Sc Co Sb
1 1 1 1
direct
0.000 0.000 0.000 Li
0.500 0.500 0.500 Sc
0.250 0.250 0.250 Co
0.750 0.750 0.750 Sb
```

Properties
Crystal system: cubic
Energy relative to the lowest polymorph listed for this composition (kJ/mol of formula units): 120
Total energy (eV/atom): -5.131

***

# 8
Below is a geometry-optimized LiScCoSb structure, with properties calculated at the GGA-PBE level.

Geometry as POSCAR:
```
LiScCoSb
1.0
0.000 3.118 3.118
3.118 0.000 3.118
3.118 3.118 0.000
Li Sc Co Sb
1 1 1 1
direct
0.000 0.000 0.000 Li
0.750 0.750 0.750 Sc
0.500 0.500 0.500 Co
0.250 0.250 0.250 Sb
```

Properties
Crystal system: cubic
Energy relative to the lowest polymorph listed for this composition (kJ/mol of formula units): 0
Total energy (eV/atom): -5.442

***

# 9
Below is a geometry-optimized LiScCoSb structure, with properties calculated at the GGA-PBE level.

Geometry as POSCAR:
```
LiScCoSb
1.0
0.000 3.185 3.185
3.185 0.000 3.185
3.185 3.185 0.000
Li Sc Co Sb
1 1 1 1
direct
0.000 0.000 0.000 Li
0.750 0.750 0.750 Sc
0.250 0.250 0.250 Co
0.500 0.500 0.500 Sb
```

Properties
Crystal system: cubic
Energy relative to the lowest polymorph listed for this composition (kJ/mol of formula units): 121
Total energy (eV/atom): -5.127

***

# 10
Below is a geometry-optimized LiTa3Co4Sb4 structure, with properties calculated at the GGA-PBE level.

Geometry as POSCAR:
```
LiTa3Co4Sb4
1.0
-2.971 2.971 5.908
2.971 -2.971 5.908
2.971 2.971 -5.908
Li Ta Co Sb
1 3 4 4
direct
0.000 0.000 0.000 Li
0.250 0.750 0.500 Ta
0.500 0.500 0.000 Ta
0.750 0.250 0.500 Ta
0.134 0.134 0.530 Co
0.396 0.866 0.000 Co
0.604 0.604 0.470 Co
0.866 0.396 0.000 Co
0.000 0.500 0.500 Sb
0.238 0.238 0.000 Sb
0.500 0.000 0.500 Sb
0.762 0.762 0.000 Sb
```

Properties
Crystal system: tetragonal
Total energy (eV/atom): -7.266

***

# 11
Below is a geometry-optimized LiTlCoSb structure, with properties calculated at the GGA-PBE level.

Geometry as POSCAR:
```
LiTlCoSb
1.0
0.000 3.282 3.282
3.282 0.000 3.282
3.282 3.282 0.000
Li Tl Co Sb
1 1 1 1
direct
0.000 0.000 0.000 Li
0.250 0.250 0.250 Tl
0.500 0.500 0.500 Co
0.750 0.750 0.750 Sb
```

Properties
Crystal system: cubic
Energy relative to the lowest polymorph listed for this composition (kJ/mol of formula units): 0
Total energy (eV/atom): -3.796

***

# 12
Below is a geometry-optimized LiCoSbW structure, with properties calculated at the GGA-PBE level.

Geometry as POSCAR:
```
LiCoSbW
1.0
0.000 3.077 3.077
3.077 0.000 3.077
3.077 3.077 0.000
Li Co Sb W
1 1 1 1
direct
0.000 0.000 0.000 Li
0.500 0.500 0.500 Co
0.250 0.250 0.250 Sb
0.750 0.750 0.750 W
```

Properties
Crystal system: cubic
Energy relative to the lowest polymorph listed for this composition (kJ/mol of formula units): 0
Total energy (eV/atom): -6.129

***

Calculated size of the total moment (μB per cell), listed in the same order as above: 2.01 3.89 4.90 3.60 4.76 0.45 1.17 0.00 0.00 0.01 0.21 2.99